Entry 1:
Compound: ErScBr
Source: the Alexandria database
Functional: PBE
Structure: relaxed

Output
Uncorrected formation energy (meV/atom): -677
Total moment (μB/f.u.): 0.0
Total DFT energy (no corrections) (eV per atom): -4.87

abc: 3.5900 3.5900 6.9362
angles: 90.00 90.00 120.00
With the nearest neighbours (Å) after each atom.
Element x y z (fractional)
Br: 0.3333 0.6667 0.6574  3 Sc 2.97, 3 Er 3.12
Sc: 0.6667 0.3333 0.3497  3 Br 2.97, 3 Er 3.23
Er: 0.0000 0.0000 0.9929  3 Br 3.12, 3 Sc 3.23

Entry 2:
Compound: AlCd2Re
Source: the Alexandria database
Functional: PBE
Structure: relaxed

Output
Energy relative to the elements (eV per atom): 0.267
Total moment (μB/f.u.): 0.6
Total DFT energy (no corrections) (eV per atom): -4.24

abc: 9.8640 9.8640 9.8640
angles: 17.13 17.13 17.13
With the nearest neighbours (Å) after each atom.
Element x y z (fractional)
Cd: 0.0047 0.0047 0.0047  9 Cd 2.94-3.23, 3 Al 3.04
Re: 0.4934 0.4934 0.4934  3 Al 2.62
Cd: 0.2438 0.2438 0.2438  9 Cd 2.94-3.23, 3 Re 2.97
Al: 0.7581 0.7581 0.7581  3 Re 2.62

Entry 3:
Compound: TbDy3Ir4
Source: the Alexandria database
Functional: PBE
Structure: relaxed

Output
Energy relative to the elements (eV per atom): -0.804
Total moment (μB/f.u.): 0.0
Total DFT energy (no corrections) (eV per atom): -7.54

abc: 3.3202 4.9308 9.8627
angles: 90.00 90.00 90.00
With the nearest neighbours (Å) after each atom.
Element x y z (fractional)
Dy: 0.5000 0.0000 0.2504  8 Ir 2.97-2.98, 2 Dy 3.32
Dy: 0.5000 0.0000 0.7496  8 Ir 2.97-2.98, 2 Dy 3.32
Tb: 0.5000 0.5000 0.0000  8 Ir 2.97-2.98, 2 Tb 3.32
Ir: 0.0000 0.0000 0.0000  4 Tb 2.97, 4 Dy 2.98, 2 Ir 3.32
Ir: 0.0000 0.5000 0.7490  6 Dy 2.96-2.97, 2 Tb 2.98, 2 Ir 3.32
Dy: 0.5000 0.5000 0.5000  8 Ir 2.96-2.97, 2 Dy 3.32
Ir: 0.0000 0.5000 0.2510  6 Dy 2.96-2.97, 2 Tb 2.98, 2 Ir 3.32
Ir: 0.0000 0.0000 0.5000  8 Dy 2.97, 2 Ir 3.32

Entry 4:
Compound: CdRh
Source: the Alexandria database
Functional: PBE
Structure: relaxed

Output
Energy relative to the elements (eV per atom): 0.221
Total moment (μB/f.u.): 0.1
Total DFT energy (no corrections) (eV per atom): -3.91

abc: 11.6308 11.6308 2.8183
angles: 90.00 90.00 90.00
With the nearest neighbours (Å) after each atom.
Element x y z (fractional)
Cd: 0.9537 0.2148 0.5000  5 Rh 2.76-2.88, 2 Cd 2.82
Cd: 0.5463 0.2852 0.0000  5 Rh 2.76-2.88, 2 Cd 2.82
Rh: 0.2423 0.8435 0.0000  4 Rh 2.60-2.82, 5 Cd 2.76-2.88
Cd: 0.2852 0.4537 0.0000  5 Rh 2.76-2.88, 2 Cd 2.82
Rh: 0.1565 0.2423 0.0000  4 Rh 2.60-2.82, 5 Cd 2.76-2.88
Rh: 0.8435 0.7577 0.0000  4 Rh 2.60-2.82, 5 Cd 2.76-2.88
Cd: 0.2148 0.0463 0.5000  5 Rh 2.76-2.88, 2 Cd 2.82
Rh: 0.2577 0.6565 0.5000  4 Rh 2.60-2.82, 5 Cd 2.76-2.88
Cd: 0.7148 0.5463 0.0000  5 Rh 2.76-2.88, 2 Cd 2.82
Rh: 0.6565 0.7423 0.5000  4 Rh 2.60-2.82, 5 Cd 2.76-2.88
Cd: 0.7852 0.9537 0.5000  5 Rh 2.76-2.88, 2 Cd 2.82
Cd: 0.4537 0.7148 0.0000  5 Rh 2.76-2.88, 2 Cd 2.82
Rh: 0.3435 0.2577 0.5000  4 Rh 2.60-2.82, 5 Cd 2.76-2.88
Rh: 0.7423 0.3435 0.5000  4 Rh 2.60-2.82, 5 Cd 2.76-2.88
Cd: 0.0463 0.7852 0.5000  5 Rh 2.76-2.88, 2 Cd 2.82
Rh: 0.7577 0.1565 0.0000  4 Rh 2.60-2.82, 5 Cd 2.76-2.88

Entry 5:
Compound: BaAsAu
Source: the Alexandria database
Functional: PBE
Structure: relaxed

Output
Energy relative to the elements (eV per atom): -0.769
Total moment (μB/f.u.): 0.0
Total DFT energy (no corrections) (eV per atom): -4.05

abc: 6.3993 4.6580 6.2780
angles: 89.96 90.00 90.00
With the nearest neighbours (Å) after each atom.
Element x y z (fractional)
Au: 0.9701 0.5667 0.3935  3 As 2.61-2.83
As: 0.6395 0.5670 0.0933  3 Au 2.61-2.83
Ba: 0.4737 0.5665 0.5867  4 As 3.25-3.35, 4 Au 3.40-3.52
Au: 0.4701 0.0670 0.1661  3 As 2.61-2.83
Ba: 0.9737 0.0671 0.9728  4 As 3.25-3.35, 4 Au 3.40-3.52
As: 0.1395 0.0666 0.4662  3 Au 2.61-2.83

Entry 6:
Compound: TbZrSc2N4
Source: the Alexandria database
Functional: PBE
Structure: relaxed

Output
Uncorrected formation energy (meV/atom): -1792
Total moment (μB/f.u.): 0.0
Total DFT energy (no corrections) (eV per atom): -9.18

abc: 3.2872 5.7108 5.6699
angles: 109.37 90.00 90.00
With the nearest neighbours (Å) after each atom.
Element x y z (fractional)
Zr: 0.0000 0.0000 0.0000  6 N 2.30-2.32
Sc: 0.5000 0.0000 0.5000  6 N 2.27
Tb: 0.5000 0.5000 0.0000  6 N 2.38
N: 0.5000 0.2424 0.2544  3 Sc 2.27-2.33, 2 Zr 2.32, 1 Tb 2.38
N: 0.5000 0.7576 0.7456  3 Sc 2.27-2.33, 2 Zr 2.32, 1 Tb 2.38
N: 0.0000 0.7640 0.2599  3 Sc 2.27-2.34, 1 Zr 2.30, 2 Tb 2.38
Sc: 0.0000 0.5000 0.5000  6 N 2.33-2.34
N: 0.0000 0.2360 0.7401  3 Sc 2.27-2.34, 1 Zr 2.30, 2 Tb 2.38

Question: Which value of total moment does entry 5 give?
Answer: 0.0 μB/f.u.

Question: Which value of total moment does entry 5 give?
Answer: 0.0 μB/f.u.

Question: The lowest total DFT energy (no corrections) belongs to which entry?
Answer: TbZrSc2N4

Question: What is the total DFT energy (no corrections) in the sixth record?
Answer: -9.18 eV per atom